Entry 1:
Below is a relaxed structure of LiNd4Ho4, with properties calculated at the PBE-GGA level.

a b c (Å): 7.6766 7.6766 7.6766
angles (deg): 131.29 117.90 82.66
Fractional positions:
Li  0.0000  0.0000  0.0000
Nd  0.0000  0.5000  0.5000
Nd  0.3200  0.0000  0.3200
Nd  0.5000  0.5000  0.0000
Nd  0.6800  0.0000  0.6800
Ho  0.1082  0.4822  0.1007
Ho  0.3816  0.0075  0.8993
Ho  0.6184  0.5178  0.6259
Ho  0.8918  0.9925  0.3741

Properties
E_form (meV/atom): 316
Symmetry: I222 (23)
Crystal system: orthorhombic
Total energy (eV per atom): -4.05

=====

Entry 2:
Below is a relaxed structure of Mn2ZnPt, with properties calculated at the PBE-GGA level.

a b c (Å): 2.8492 3.6169 5.6501
angles (deg): 90.00 90.00 90.00
Fractional positions:
Mn  0.0000  0.0000  0.2462
Mn  0.0000  0.0000  0.7538
Zn  0.5000  0.5000  0.0000
Pt  0.5000  0.5000  0.5000

Properties
E_form (meV/atom): -144
Symmetry: Pmmm (47)
Crystal system: orthorhombic
Total energy (eV per atom): -6.56

=====

Entry 3:
Below is a relaxed structure of Hf2NiBi, with properties calculated at the PBE-GGA level.

a b c (Å): 7.5746 7.5746 5.9322
angles (deg): 90.00 90.00 90.00
Fractional positions:
Hf  0.1969  0.2500  0.1250
Hf  0.2500  0.6969  0.3750
Hf  0.2500  0.8031  0.8750
Hf  0.3031  0.2500  0.6250
Hf  0.6969  0.7500  0.6250
Hf  0.7500  0.1969  0.8750
Hf  0.7500  0.3031  0.3750
Hf  0.8031  0.7500  0.1250
Ni  0.0000  0.0000  0.0000
Ni  0.0000  0.5000  0.2500
Ni  0.5000  0.0000  0.7500
Ni  0.5000  0.5000  0.5000
Bi  0.0000  0.0000  0.5000
Bi  0.0000  0.5000  0.7500
Bi  0.5000  0.0000  0.2500
Bi  0.5000  0.5000  0.0000

Properties
E_form (meV/atom): 5
Symmetry: I-42d (122)
Crystal system: tetragonal
Total energy (eV per atom): -7.39

=====

Entry 4:
Below is a relaxed structure of SrCa2Co, with properties calculated at the PBE-GGA level.

a b c (Å): 5.0441 5.0441 9.9937
angles (deg): 90.00 90.00 90.00
Fractional positions:
Sr  0.0000  0.0000  0.0000
Sr  0.5000  0.5000  0.5000
Ca  0.0000  0.0000  0.5000
Ca  0.0000  0.5000  0.7500
Ca  0.5000  0.0000  0.2500
Ca  0.5000  0.5000  0.0000
Co  0.0000  0.5000  0.2500
Co  0.5000  0.0000  0.7500

Properties
E_form (meV/atom): 494
Relative energy among the computed polymorphs (meV/atom): 239
Symmetry: I-4m2 (119)
Crystal system: tetragonal
Total energy (eV per atom): -2.70

=====

Entry 5:
Below is a relaxed structure of TaCoP2, with properties calculated at the PBE-GGA level.

a b c (Å): 4.1419 4.1419 3.0699
angles (deg): 90.00 90.00 90.00
Fractional positions:
Ta  0.0000  0.0000  0.0000
Co  0.5000  0.5000  0.0000
P  0.0000  0.5000  0.5000
P  0.5000  0.0000  0.5000

Properties
E_form (meV/atom): -330
Relative energy among the computed polymorphs (meV/atom): 180
Symmetry: P4/mmm (123)
Crystal system: tetragonal
Total energy (eV per atom): -7.77

=====

Entry 6:
Below is a relaxed structure of TaTl2W, with properties calculated at the PBE-GGA level.

a b c (Å): 3.1052 5.0043 11.4294
angles (deg): 90.00 90.00 90.00
Fractional positions:
Ta  0.0000  0.0000  0.0000
Ta  0.5000  0.5000  0.5000
Tl  0.0000  0.0000  0.4366
Tl  0.0000  0.5000  0.2199
Tl  0.5000  0.0000  0.7199
Tl  0.5000  0.5000  0.9366
W  0.0000  0.5000  0.6774
W  0.5000  0.0000  0.1774

Properties
E_form (meV/atom): 774
Relative energy among the computed polymorphs (meV/atom): 260
Symmetry: Imm2 (44)
Crystal system: orthorhombic
Total energy (eV per atom): -6.61

=====

Entry 7:
Below is a relaxed structure of RbSc3Ti, with properties calculated at the PBE-GGA level.

a b c (Å): 5.3839 5.3839 5.3839
angles (deg): 90.00 90.00 90.00
Fractional positions:
Rb  0.0000  0.0000  0.0000
Sc  0.0000  0.5000  0.5000
Sc  0.5000  0.0000  0.5000
Sc  0.5000  0.5000  0.0000
Ti  0.5000  0.5000  0.5000

Properties
E_form (meV/atom): 734
Relative energy among the computed polymorphs (meV/atom): 0
Symmetry: Pm-3m (221)
Crystal system: cubic
Total energy (eV per atom): -4.84

=====

Entry 8:
Below is a relaxed structure of Rb2SnTeS5, with properties calculated at the PBE-GGA level.

a b c (Å): 10.0312 10.0312 14.5159
angles (deg): 90.00 90.00 157.11
Fractional positions:
Rb  0.1080  0.8920  0.5000
Rb  0.1338  0.8662  0.1407
Rb  0.8662  0.1338  0.6407
Rb  0.8920  0.1080  0.0000
Sn  0.4365  0.5635  0.2577
Sn  0.5635  0.4365  0.7577
Te  0.2199  0.7801  0.8625
Te  0.7801  0.2199  0.3625
S  0.0441  0.9559  0.8604
S  0.2785  0.7215  0.4823
S  0.3143  0.6857  0.2261
S  0.3351  0.6649  0.8256
S  0.4979  0.5021  0.1204
S  0.5021  0.4979  0.6204
S  0.6649  0.3351  0.3256
S  0.6857  0.3143  0.7261
S  0.7215  0.2785  0.9823
S  0.9559  0.0441  0.3604

Properties
Symmetry: Cmc2_1 (36)
Raw formation energy (meV per atom): -597
Crystal system: orthorhombic
Total energy (eV per atom): -3.90

=====

Entry 9:
Below is a relaxed structure of KAcSm2Te4, with properties calculated at the PBE-GGA level.

a b c (Å): 7.9509 4.5354 8.1538
angles (deg): 90.00 108.37 90.00
Fractional positions:
K  0.0000  0.0000  0.0000
Ac  0.5000  0.5000  0.0000
Sm  0.0000  0.5000  0.5000
Sm  0.5000  0.0000  0.5000
Te  0.2445  0.0000  0.7317
Te  0.2606  0.5000  0.2721
Te  0.7394  0.5000  0.7279
Te  0.7555  0.0000  0.2683

Properties
Symmetry: P2/m (10)
Raw formation energy (meV per atom): -1414
Crystal system: monoclinic
Total energy (eV per atom): -4.82

=====

Entry 10:
Below is a relaxed structure of SmMg2Ru2C, with properties calculated at the PBE-GGA level.

a b c (Å): 4.1744 4.1744 5.8935
angles (deg): 90.00 90.00 90.00
Fractional positions:
Sm  0.0000  0.0000  0.0000
Mg  0.5000  0.5000  0.2348
Mg  0.5000  0.5000  0.7652
Ru  0.0000  0.5000  0.5000
Ru  0.5000  0.0000  0.5000
C  0.0000  0.0000  0.5000

Properties
E_form (meV/atom): -43
Symmetry: P4/mmm (123)
Crystal system: tetragonal
Total energy (eV per atom): -5.99

=====

Entry 11:
Below is a relaxed structure of Ca3Zn, with properties calculated at the PBE-GGA level.

a b c (Å): 5.5506 7.0222 6.6888
angles (deg): 90.00 90.00 90.00
Fractional positions:
Ca  0.2500  0.0033  0.1470
Ca  0.2500  0.2500  0.6081
Ca  0.2500  0.4967  0.1470
Ca  0.7500  0.5033  0.8530
Ca  0.7500  0.7500  0.3919
Ca  0.7500  0.9967  0.8530
Zn  0.2500  0.7500  0.7221
Zn  0.7500  0.2500  0.2779

Properties
E_form (meV/atom): 7
Relative energy among the computed polymorphs (meV/atom): 134
Symmetry: Pmmn (59)
Crystal system: orthorhombic
Total energy (eV per atom): -1.81

=====

Entry 12:
Below is a relaxed structure of BeAlInPb2, with properties calculated at the PBE-GGA level.

a b c (Å): 5.8926 5.8926 4.4956
angles (deg): 90.00 90.00 90.00
Fractional positions:
Be  0.0000  0.0000  0.0000
Al  0.5000  0.5000  0.0000
In  0.0000  0.0000  0.5000
Pb  0.0000  0.5000  0.5000
Pb  0.5000  0.0000  0.5000

Properties
E_form (meV/atom): 834
Symmetry: P4/mmm (123)
Crystal system: tetragonal
Total energy (eV per atom): -2.69

=====

The lowest total energy belongs to which entry? TaCoP2

=====

Which of these has the lowest total energy? TaCoP2

=====

Which value of total energy does entry 8 give? -3.90 eV per atom